A | Here is a relaxed Zr2BBr crystal from Alexandria. Energies are from GGA-PBE.

a b c (Å): 6.868 6.868 6.868
angles (deg): 130.31 130.31 72.91
Sites, in units of the cell vectors:
Zr 0.052 0.625 0.927
Zr 0.375 0.302 0.427
Zr 0.698 0.125 0.073
Zr 0.875 0.948 0.573
B 0.000 0.000 0.000
B 0.750 0.250 0.500
Br 0.250 0.750 0.500
Br 0.500 0.500 0.000

## Properties
Its space group is I-42d.

---

B | Here is a relaxed Zr2BBr crystal from Alexandria. Energies are from GGA-PBE.

a b c (Å): 4.587 4.587 4.587
angles (deg): 60.00 60.00 60.00
Sites, in units of the cell vectors:
Zr 0.250 0.250 0.250
Zr 0.750 0.750 0.750
B 0.000 0.000 0.000
Br 0.500 0.500 0.500

## Properties
Its space group is Fm-3m.

---

So which one wins? Going from most stable to least: A, B.

---

A | Here is a relaxed ZrBBr2 crystal from Alexandria. Energies are from GGA-PBE.

a b c (Å): 8.722 8.722 8.722
angles (deg): 23.24 23.24 23.24
Sites, in units of the cell vectors:
Zr 0.000 0.000 0.000
B 0.500 0.500 0.500
Br 0.104 0.104 0.104
Br 0.896 0.896 0.896

## Properties
Its space group is R-3m.

---

B | Here is a relaxed ZrBBr2 crystal from Alexandria. Energies are from GGA-PBE.

a b c (Å): 4.759 4.759 4.759
angles (deg): 60.00 60.00 60.00
Sites, in units of the cell vectors:
Zr 0.000 0.000 0.000
B 0.500 0.500 0.500
Br 0.250 0.250 0.250
Br 0.750 0.750 0.750

## Properties
Its space group is Fm-3m.

---

C | Here is a relaxed ZrBBr2 crystal from Alexandria. Energies are from GGA-PBE.

a b c (Å): 7.526 7.526 7.526
angles (deg): 95.34 95.34 144.47
Sites, in units of the cell vectors:
Zr 0.000 0.000 0.000
Zr 0.750 0.250 0.500
B 0.250 0.750 0.500
B 0.500 0.500 0.000
Br 0.375 0.208 0.333
Br 0.792 0.125 0.167
Br 0.875 0.042 0.667
Br 0.958 0.625 0.833

## Properties
Its space group is I-42d.

---

So which one wins? Going from most stable to least: C, B, A.

---

A | Here is a relaxed ZrB3Br crystal from Alexandria. Energies are from GGA-PBE.

a b c (Å): 4.724 4.724 4.724
angles (deg): 90.00 90.00 90.00
Sites, in units of the cell vectors:
Zr 0.000 0.000 0.000
B 0.000 0.000 0.500
B 0.000 0.500 0.000
B 0.500 0.000 0.000
Br 0.500 0.500 0.500

## Properties
Its space group is Pm-3m.

---

B | Here is a relaxed ZrB3Br crystal from Alexandria. Energies are from GGA-PBE.

a b c (Å): 4.110 4.110 4.110
angles (deg): 90.00 90.00 90.00
Sites, in units of the cell vectors:
Zr 0.000 0.000 0.000
B 0.000 0.500 0.500
B 0.500 0.000 0.500
B 0.500 0.500 0.000
Br 0.500 0.500 0.500

## Properties
Its space group is Pm-3m.

---

So which one wins? Going from most stable to least: B, A.

---

A | Here is a relaxed B7C5 crystal from Alexandria. Energies are from GGA-PBE.

a b c (Å): 4.692 2.659 6.766
angles (deg): 90.00 91.93 90.00
Sites, in units of the cell vectors:
B 0.000 0.000 0.000
B 0.023 0.000 0.287
B 0.135 0.500 0.721
B 0.306 0.000 0.587
B 0.445 0.500 0.260
B 0.719 0.000 0.734
B 0.845 0.500 0.407
C 0.175 0.500 0.963
C 0.355 0.000 0.361
C 0.498 0.500 0.027
C 0.649 0.000 0.963
C 0.803 0.500 0.630

## Properties
Its space group is Pm.

---

B | Here is a relaxed B7C5 crystal from Alexandria. Energies are from GGA-PBE.

a b c (Å): 2.651 2.719 11.884
angles (deg): 90.00 90.00 90.00
Sites, in units of the cell vectors:
B 0.000 0.000 0.000
B 0.000 0.000 0.354
B 0.000 0.500 0.737
B 0.500 0.000 0.242
B 0.500 0.000 0.871
B 0.500 0.500 0.133
B 0.500 0.500 0.492
C 0.000 0.000 0.649
C 0.000 0.500 0.060
C 0.000 0.500 0.423
C 0.500 0.000 0.588
C 0.500 0.500 0.812

## Properties
Its space group is Pmm2.

---

C | Here is a relaxed B7C5 crystal from Alexandria. Energies are from GGA-PBE.

a b c (Å): 6.950 6.950 4.718
angles (deg): 103.07 103.07 21.96
Sites, in units of the cell vectors:
B 0.000 0.000 0.000
B 0.012 0.012 0.532
B 0.245 0.245 0.500
B 0.368 0.368 0.130
B 0.593 0.593 0.999
B 0.659 0.659 0.380
B 0.702 0.702 0.802
C 0.268 0.268 0.873
C 0.357 0.357 0.656
C 0.580 0.580 0.610
C 0.915 0.915 0.695
C 0.927 0.927 0.218

## Properties
Its space group is Cm.

---

D | Here is a relaxed B7C5 crystal from Alexandria. Energies are from GGA-PBE.

a b c (Å): 5.714 5.714 5.634
angles (deg): 97.06 97.06 27.42
Sites, in units of the cell vectors:
B 0.000 0.000 0.000
B 0.002 0.002 0.384
B 0.186 0.186 0.374
B 0.329 0.329 0.057
B 0.587 0.587 0.506
B 0.630 0.630 0.214
B 0.865 0.865 0.509
C 0.240 0.240 0.807
C 0.304 0.304 0.574
C 0.562 0.562 0.950
C 0.658 0.658 0.777
C 0.889 0.889 0.159

## Properties
Its space group is Cm.

---

So which one wins? Going from most stable to least: D, A, B, C.

---

A | Here is a relaxed B3C5 crystal from Alexandria. Energies are from GGA-PBE.

a b c (Å): 2.568 4.918 4.072
angles (deg): 90.00 90.00 90.00
Sites, in units of the cell vectors:
B 0.000 0.000 0.000
B 0.000 0.273 0.697
B 0.000 0.727 0.697
C 0.000 0.500 0.000
C 0.500 0.000 0.253
C 0.500 0.254 0.447
C 0.500 0.500 0.213
C 0.500 0.746 0.447

## Properties
Its space group is Pmm2.

---

B | Here is a relaxed B3C5 crystal from Alexandria. Energies are from GGA-PBE.

a b c (Å): 4.314 4.314 3.532
angles (deg): 109.16 109.16 56.12
Sites, in units of the cell vectors:
B 0.000 0.000 0.000
B 0.548 0.227 0.116
B 0.773 0.452 0.884
C 0.066 0.662 0.608
C 0.182 0.295 0.739
C 0.338 0.934 0.392
C 0.416 0.584 0.500
C 0.705 0.818 0.261

## Properties
Its space group is C2.

---

C | Here is a relaxed B3C5 crystal from Alexandria. Energies are from GGA-PBE.

a b c (Å): 9.119 9.119 9.119
angles (deg): 16.16 16.16 16.16
Sites, in units of the cell vectors:
B 0.000 0.000 0.000
B 0.195 0.195 0.195
B 0.704 0.704 0.704
C 0.257 0.257 0.257
C 0.449 0.449 0.449
C 0.505 0.505 0.505
C 0.763 0.763 0.763
C 0.941 0.941 0.941

## Properties
Its space group is R3m.

---

So which one wins? Going from most stable to least: A, C, B.

---

A | Here is a relaxed B3C crystal from Alexandria. Energies are from GGA-PBE.

a b c (Å): 4.465 2.645 7.686
angles (deg): 90.00 100.26 90.00
Sites, in units of the cell vectors:
B 0.000 0.000 0.000
B 0.013 0.000 0.229
B 0.084 0.500 0.691
B 0.176 0.500 0.129
B 0.245 0.500 0.351
B 0.311 0.500 0.917
B 0.468 0.000 0.642
B 0.589 0.000 0.885
B 0.878 0.000 0.765
C 0.321 0.500 0.559
C 0.530 0.500 0.243
C 0.679 0.000 0.242

## Properties
Its space group is Pm.

---

B | Here is a relaxed B3C crystal from Alexandria. Energies are from GGA-PBE.

a b c (Å): 2.767 2.767 17.071
angles (deg): 90.00 90.00 120.00
Sites, in units of the cell vectors:
B 0.000 0.000 0.000
B 0.000 0.000 0.106
B 0.000 0.000 0.363
B 0.000 0.000 0.610
B 0.333 0.667 0.208
B 0.333 0.667 0.610
B 0.333 0.667 0.850
B 0.667 0.333 0.265
B 0.667 0.333 0.950
C 0.333 0.667 0.116
C 0.667 0.333 0.356
C 0.667 0.333 0.857

## Properties
Its space group is P3m1.

---

So which one wins? Going from most stable to least: A, B.

---

A | Here is a relaxed B3C2 crystal from Alexandria. Energies are from GGA-PBE.

a b c (Å): 10.305 10.305 10.305
angles (deg): 165.33 165.03 21.02
Sites, in units of the cell vectors:
B 0.000 0.000 0.000
B 0.062 0.562 0.500
B 0.204 0.204 0.000
B 0.435 0.935 0.500
B 0.783 0.783 0.000
B 0.857 0.357 0.500
C 0.248 0.748 0.500
C 0.393 0.393 0.000
C 0.610 0.610 0.000
C 0.649 0.149 0.500

## Properties
Its space group is Imm2.

---

B | Here is a relaxed B3C2 crystal from Alexandria. Energies are from GGA-PBE.

a b c (Å): 4.978 4.978 6.958
angles (deg): 119.78 119.78 30.04
Sites, in units of the cell vectors:
B 0.020 0.020 0.345
B 0.335 0.335 0.931
B 0.373 0.373 0.208
B 0.627 0.627 0.792
B 0.665 0.665 0.069
B 0.980 0.980 0.655
C 0.202 0.202 0.206
C 0.207 0.207 0.431
C 0.793 0.793 0.569
C 0.798 0.798 0.794

## Properties
Its space group is C2/m.

---

So which one wins? Going from most stable to least: A, B.

---

A | Here is a relaxed B3C2 crystal from Alexandria. Energies are from GGA-PBE.

a b c (Å): 11.397 11.397 11.397
angles (deg): 168.28 166.93 17.59
Sites, in units of the cell vectors:
B 0.000 0.000 0.000
B 0.190 0.190 0.000
B 0.596 0.596 0.000
B 0.745 0.245 0.500
B 0.806 0.806 0.000
B 0.938 0.438 0.500
C 0.137 0.637 0.500
C 0.353 0.853 0.500
C 0.391 0.391 0.000
C 0.542 0.042 0.500

## Properties
Its space group is Imm2.

---

B | Here is a relaxed B3C2 crystal from Alexandria. Energies are from GGA-PBE.

a b c (Å): 2.651 4.600 4.600
angles (deg): 44.98 90.00 90.00
Sites, in units of the cell vectors:
B 0.000 0.000 0.000
B 0.500 0.500 0.985
B 0.500 0.985 0.500
C 0.000 0.812 0.812
C 0.500 0.088 0.088

## Properties
Its space group is Amm2.

---

So which one wins? Going from most stable to least: B, A.